Density functional theory data (PBE-GGA) for MgRhSeBr2 after structural relaxation.

Cell lengths 5.036, 5.036, 4.989 Å; angles 90.00, 90.00, 90.00 degrees
Element x y z (fractional)
1 Mg 0.500 0.500 0.500
2 Rh 0.000 0.000 0.000
3 Se 0.000 0.000 0.500
4 Br 0.000 0.500 0.000
5 Br 0.500 0.000 0.000

## Properties
**Total energy**: -3.287 eV/atom
**Excess energy over the best structure of this formula in the dataset**: 0.00 kJ per mole of atoms
**Crystal system**: tetragonal
**Raw formation energy**: -0.1312 eV per atom
**N(E_F)**: 3.11 states/eV per cell